La8Ce2Y, optimized geometry, DFT PBE; crystal system = orthorhombic; space group = Immm; energy relative to the elements = 1.58 eV per formula unit; raw total energy = -5.107 eV per atom
1.0
-2.845 4.215 8.137
2.845 -4.215 8.137
2.845 4.215 -8.137
La Ce Y
8 2 1
Cartesian
0.000 0.000 2.545
2.845 2.517 -2.300
0.000 2.526 0.000
2.845 2.517 2.300
0.000 1.698 5.836
0.000 5.904 0.000
0.000 1.698 10.437
0.000 0.000 13.729
2.845 0.000 4.866
0.000 4.215 3.271
2.845 0.000 0.000

La6CeY5, optimized geometry, DFT PBE; crystal system = orthorhombic; space group = Immm; energy relative to the elements = 0.48 eV per formula unit; raw total energy = -5.611 eV per atom
1.0
-2.619 5.083 7.797
2.619 -5.083 7.797
2.619 5.083 -7.797
La Ce Y
6 1 5
Cartesian
2.619 2.535 -2.557
0.000 2.521 0.000
2.619 2.535 2.557
0.000 2.548 5.240
0.000 7.645 0.000
0.000 2.548 10.355
2.619 0.000 0.000
0.000 0.000 2.572
2.619 0.000 5.180
0.000 0.000 7.797
0.000 5.083 2.617
0.000 0.000 13.023

LaCeY, optimized geometry, DFT PBE; crystal system = trigonal; space group = P3m1; energy relative to the elements = 0.22 eV per formula unit; raw total energy = -5.702 eV per atom
1.0
3.572 0.000 0.000
-1.786 3.093 0.000
0.000 0.000 8.779
La Ce Y
1 1 1
Cartesian
0.000 0.000 0.000
0.000 2.062 5.946
1.786 1.031 3.113

LaCe2Y, optimized geometry, DFT PBE; crystal system = tetragonal; space group = P4/mmm; energy relative to the elements = 0.47 eV per formula unit; raw total energy = -5.697 eV per atom
1.0
3.495 0.000 0.000
0.000 3.495 0.000
0.000 0.000 10.211
La Ce Y
1 2 1
Cartesian
0.000 0.000 0.000
1.747 1.747 2.541
1.747 1.747 7.670
0.000 0.000 5.105

La3CeY12, optimized geometry, DFT PBE; crystal system = tetragonal; space group = P4/mmm; energy relative to the elements = 0.69 eV per formula unit; raw total energy = -6.100 eV per atom
1.0
5.111 0.000 0.000
0.000 5.111 0.000
0.000 0.000 20.405
La Ce Y
3 1 12
Cartesian
0.000 0.000 0.000
0.000 0.000 5.144
0.000 0.000 15.261
0.000 0.000 10.203
0.000 2.556 2.577
0.000 2.556 7.732
0.000 2.556 12.673
0.000 2.556 17.828
2.556 0.000 2.577
2.556 0.000 7.732
2.556 0.000 12.673
2.556 0.000 17.828
2.556 2.556 0.000
2.556 2.556 5.139
2.556 2.556 10.203
2.556 2.556 15.266

LaCe2Y, optimized geometry, DFT PBE; crystal system = tetragonal; space group = P4/mmm; energy relative to the elements = 0.47 eV per formula unit; raw total energy = -5.698 eV per atom
1.0
4.962 0.000 0.000
0.000 4.962 0.000
0.000 0.000 5.147
La Ce Y
1 2 1
Cartesian
0.000 0.000 0.000
0.000 2.481 2.573
2.481 0.000 2.573
2.481 2.481 0.000

LaCeY, optimized geometry, DFT PBE; crystal system = triclinic; space group = P-1; energy relative to the elements = 0.18 eV per formula unit; raw total energy = -5.714 eV per atom
1.0
3.604 0.000 0.000
-0.004 6.228 0.000
-0.003 -2.057 8.683
La Ce Y
2 2 2
Cartesian
0.902 -0.523 2.748
2.697 4.694 5.934
0.905 1.603 0.024
2.693 2.568 8.659
0.895 1.568 5.839
2.703 2.603 2.844

La2CeY6, optimized geometry, DFT PBE; crystal system = monoclinic; space group = C2/c; energy relative to the elements = 0.75 eV per formula unit; raw total energy = -5.981 eV per atom
1.0
9.305 -4.983 0.000
9.305 4.983 0.000
-2.609 0.000 6.478
La Ce Y
4 2 12
Cartesian
2.015 0.000 2.701
0.710 0.000 5.940
15.291 0.000 0.538
13.987 0.000 3.777
8.653 0.000 1.619
7.349 0.000 4.858
5.348 1.648 2.162
7.993 3.297 3.236
4.058 1.648 5.407
9.313 3.297 0.003
4.044 -1.648 5.401
5.363 -1.648 2.168
10.639 1.648 4.310
11.958 1.648 1.076
6.689 -3.297 6.475
11.943 -1.648 1.071
8.008 -3.297 3.242
10.653 -1.648 4.315

La9CeY4, optimized geometry, DFT PBE; crystal system = hexagonal; space group = P6_3/mmc; energy relative to the elements = 1.96 eV per formula unit; raw total energy = -5.299 eV per atom
1.0
10.126 0.000 0.000
-5.063 8.769 0.000
0.000 0.000 11.339
La Ce Y
18 2 8
Cartesian
-2.003 4.690 2.835
0.000 3.687 6.153
0.000 3.687 10.856
-1.870 6.926 6.153
-1.870 6.926 10.856
3.193 1.843 0.483
3.193 1.843 5.186
2.003 4.690 2.835
0.000 8.159 2.835
5.063 0.610 8.504
3.060 4.080 8.504
1.870 6.926 6.153
1.870 6.926 10.856
6.933 1.843 0.483
6.933 1.843 5.186
5.063 5.082 0.483
5.063 5.082 5.186
7.066 4.080 8.504
0.000 5.846 8.504
5.063 2.923 2.835
0.000 0.000 0.000
0.000 0.000 5.670
0.000 1.936 2.835
-3.386 7.801 2.835
1.677 0.968 8.504
3.386 7.801 2.835
8.449 0.968 8.504
5.063 6.833 8.504

La8CeY5, optimized geometry, DFT PBE; crystal system = triclinic; space group = P1; energy relative to the elements = 2.12 eV per formula unit; raw total energy = -5.396 eV per atom
1.0
8.621 0.000 0.000
-1.488 8.518 0.000
-3.712 -4.082 6.736
La Ce Y
8 1 5
Cartesian
0.000 0.000 0.000
-3.543 0.078 5.378
1.488 3.058 2.080
-0.592 3.597 5.242
3.145 0.189 1.846
2.026 1.226 5.292
6.054 2.257 0.638
4.430 6.652 2.194
2.977 4.959 0.373
-1.097 5.382 1.947
-0.835 0.781 3.390
-0.768 -2.096 5.261
1.619 5.950 4.028
4.760 3.397 3.678

La15CeY4, optimized geometry, DFT PBE; crystal system = tetragonal; space group = P4/mmm; energy relative to the elements = 0.44 eV per formula unit; raw total energy = -5.263 eV per atom
1.0
5.222 0.000 0.000
0.000 5.222 0.000
0.000 0.000 26.032
La Ce Y
15 1 4
Cartesian
0.000 0.000 0.000
0.000 0.000 5.206
0.000 0.000 10.424
0.000 0.000 15.608
0.000 0.000 20.827
0.000 2.611 2.494
0.000 2.611 7.774
0.000 2.611 13.016
0.000 2.611 18.259
0.000 2.611 23.539
2.611 0.000 2.494
2.611 0.000 7.774
2.611 0.000 13.016
2.611 0.000 18.259
2.611 0.000 23.539
2.611 2.611 0.000
2.611 2.611 5.177
2.611 2.611 10.398
2.611 2.611 15.634
2.611 2.611 20.855

La14CeY, optimized geometry, DFT PBE; crystal system = orthorhombic; space group = Amm2; energy relative to the elements = 0.34 eV per formula unit; raw total energy = -5.065 eV per atom
1.0
10.500 0.000 0.000
0.000 5.228 5.227
0.000 -5.228 5.227
La Ce Y
14 1 1
Cartesian
0.000 0.000 0.000
0.000 0.000 5.212
0.000 -2.599 7.837
0.000 2.599 7.837
2.661 0.000 2.648
2.671 -2.573 5.221
2.671 2.573 5.221
2.678 0.000 7.789
5.250 -2.600 2.608
5.250 2.600 2.608
7.822 0.000 7.789
7.829 -2.573 5.221
7.829 2.573 5.221
7.839 0.000 2.648
5.250 0.000 5.226
5.250 0.000 10.444

La5CeY, optimized geometry, DFT PBE; crystal system = monoclinic; space group = C2/c; energy relative to the elements = 1.28 eV per formula unit; raw total energy = -5.108 eV per atom
1.0
3.154 -8.733 0.000
3.154 8.733 0.000
-1.724 0.000 8.963
La Ce Y
10 2 2
Cartesian
0.151 3.153 5.934
1.861 6.164 6.722
2.512 2.516 0.444
1.013 -3.153 1.453
2.935 2.516 4.037
1.650 -2.516 4.926
3.572 3.153 7.510
2.073 -2.516 8.519
2.723 -6.164 2.241
4.434 -3.153 3.029
2.723 0.101 2.241
1.861 -0.101 6.722
0.000 0.000 0.000
-0.862 0.000 4.482

La12CeY7, optimized geometry, DFT PBE; crystal system = triclinic; space group = P-1; energy relative to the elements = 1.42 eV per formula unit; raw total energy = -5.445 eV per atom
1.0
7.027 0.000 0.000
-0.660 9.543 0.000
-3.074 -4.157 10.605
La Ce Y
12 1 7
Cartesian
-0.751 -1.289 4.042
0.638 7.628 1.104
1.470 4.317 0.048
-0.769 -3.182 9.671
0.340 -0.179 7.204
0.525 5.925 6.345
2.767 -0.538 4.259
2.953 5.566 3.401
4.062 8.568 0.934
1.822 1.070 10.557
2.654 -2.242 9.501
4.044 6.675 6.563
-1.867 2.693 5.302
-0.522 4.777 3.045
0.261 1.481 2.204
-0.490 3.023 8.496
1.646 2.693 5.302
3.783 2.364 2.109
3.032 3.905 8.401
3.814 0.610 7.560

La6CeY, optimized geometry, DFT PBE; crystal system = monoclinic; space group = C2/m; energy relative to the elements = 1.18 eV per formula unit; raw total energy = -5.098 eV per atom
1.0
3.422 -5.933 0.000
3.422 5.933 0.000
-0.002 0.000 6.865
La Ce Y
6 1 1
Cartesian
0.417 0.000 1.753
1.928 2.604 5.111
4.914 2.604 1.754
1.928 -2.604 5.111
4.914 -2.604 1.754
6.426 0.000 5.112
3.421 0.000 3.433
3.422 0.000 0.000

LaCeY, optimized geometry, DFT PBE; crystal system = tetragonal; space group = P4/nmm; energy relative to the elements = 0.12 eV per formula unit; raw total energy = -5.735 eV per atom
1.0
3.540 0.000 0.000
0.000 3.540 0.000
0.000 0.000 15.277
La Ce Y
2 2 2
Cartesian
0.885 0.885 3.576
2.655 2.655 11.701
0.885 0.885 14.186
2.655 2.655 1.091
0.885 0.885 8.893
2.655 2.655 6.384

La6CeY4, optimized geometry, DFT PBE; crystal system = orthorhombic; space group = Cmcm; energy relative to the elements = 1.39 eV per formula unit; raw total energy = -5.451 eV per atom
1.0
2.965 -4.950 0.000
2.965 4.950 0.000
0.000 0.000 26.469
La Ce Y
12 2 8
Cartesian
0.000 0.000 0.000
0.000 0.000 13.235
2.965 4.534 19.852
2.965 1.879 2.602
2.965 1.879 10.633
2.965 1.310 18.055
2.965 1.310 21.649
2.965 -1.310 4.821
2.965 -1.310 8.414
2.965 -1.879 15.836
2.965 -1.879 23.867
2.965 -4.534 6.617
2.965 1.982 6.617
2.965 -1.982 19.852
2.965 4.648 16.556
2.965 4.648 23.148
2.965 1.540 14.432
2.965 1.540 25.272
2.965 -1.540 1.198
2.965 -1.540 12.037
2.965 -4.648 3.321
2.965 -4.648 9.914

LaCeYZr, optimized geometry, DFT PBE; crystal system = cubic; space group = F-43m; energy relative to the elements = 0.94 eV per formula unit; raw total energy = -6.233 eV per atom
1.0
0.000 3.909 3.909
3.909 0.000 3.909
3.909 3.909 0.000
La Ce Y Zr
1 1 1 1
Cartesian
0.000 0.000 0.000
3.909 3.909 3.909
1.955 1.955 1.955
5.864 5.864 5.864

La3CeZn2, optimized geometry, DFT PBE; crystal system = tetragonal; space group = P4/mmm; energy relative to the elements = -1.06 eV per formula unit; raw total energy = -4.055 eV per atom
1.0
3.675 0.000 0.000
0.000 3.675 0.000
0.000 0.000 12.497
La Ce Zn
3 1 2
Cartesian
0.000 0.000 0.000
0.000 0.000 3.873
0.000 0.000 8.624
1.837 1.837 6.249
1.837 1.837 1.962
1.837 1.837 10.536

La2CeZn9, optimized geometry, DFT PBE; crystal system = trigonal; space group = R-3m; energy relative to the elements = -3.29 eV per formula unit; raw total energy = -2.545 eV per atom
1.0
2.769 1.599 8.857
-2.769 1.599 8.857
0.000 -3.197 8.857
La Ce Zn
2 1 9
Cartesian
0.000 0.000 3.806
0.000 0.000 22.765
0.000 0.000 0.000
-1.397 -0.807 10.976
0.000 0.000 8.895
0.000 -1.614 15.596
-1.397 0.807 15.596
0.000 0.000 13.286
1.397 -0.807 10.976
0.000 1.614 10.976
0.000 0.000 17.676
1.397 0.807 15.596